# SrCuAsS4

A geometry-optimized SrCuAsS4 structure (GGA-PBE, Alexandria).

a = 6.6661 Å, b = 6.6661 Å, c = 8.1774 Å
α = 90.00°, β = 90.00°, γ = 90.00°
Closest atoms and distances in Å follow each position.
Space group I-4 (No. 82)
Asymmetric unit:
Sr 0.0000 0.0000 0.0000 x2  4 S 2.99
Cu 0.0000 0.0000 0.5000 x2  4 S 2.28
As 0.0000 0.5000 0.7500 x2  4 S 2.23
S 0.1676 0.2475 0.6346 x8  1 As 2.23, 1 Cu 2.28

Calculated values
As for the total moment: 0.000 μB/atom. The volume is 25.96 A^3/atom. The total energy comes out at -4.514 eV per atom.

---

# BeNiSe2

A geometry-optimized BeNiSe2 structure (GGA-PBE, Alexandria).

a = 3.2765 Å, b = 6.6101 Å, c = 8.2961 Å
α = 90.00°, β = 90.00°, γ = 90.00°
Closest atoms and distances in Å follow each position.
Space group Immm (No. 71)
Asymmetric unit:
Be 0.0000 0.0000 0.0000 x2  4 Se 2.28
Ni 0.0000 0.5000 0.0000 x2  4 Se 2.38
Se 0.0000 0.2602 0.5000 x4  2 Be 2.28, 2 Ni 2.38

Calculated values
As for the total moment: 0.147 μB/atom. The volume is 22.46 A^3/atom. The total energy comes out at -3.999 eV per atom. As for the density of states at the Fermi level: 7.245 states/eV per cell.

---

# CrCu4Ge

A geometry-optimized CrCu4Ge structure (GGA-PBE, Alexandria).

a = 6.8772 Å, b = 6.8772 Å, c = 6.8772 Å
α = 90.00°, β = 90.00°, γ = 90.00°
Closest atoms and distances in Å follow each position.
Space group F-43m (No. 216)
Asymmetric unit:
Cr 0.0000 0.0000 0.0000 x4  12 Cu 2.85, 4 Ge 2.98
Cu 0.1253 0.1253 0.6253 x16  6 Cu 2.43-2.44
Ge 0.2500 0.2500 0.2500 x4  12 Cu 2.85, 4 Cr 2.98

Calculated values
As for the total moment: 0.651 μB/atom. The volume is 13.55 A^3/atom. The total energy comes out at -4.936 eV per atom. As for the density of states at the Fermi level: 13.231 states/eV per cell. The value obtained for the formation energy is 97 kJ/mol of formula units.